Compound: CaPrSmDy
Source: Alexandria via LeMat-Bulk
Functional: PBE
Structure: relaxed

Output
formation energy from the elements: 125 meV/atom
size of the total moment: 0.0 μB per formula unit
E above lowest polymorph: 0.31 eV/f.u.

Cell and atoms, written as POSCAR:
```
CaPrSmDy
1.0
0.000 4.132 4.132
4.132 0.000 4.132
4.132 4.132 0.000
Ca Pr Sm Dy
1 1 1 1
Cartesian
0.000 0.000 0.000
2.066 2.066 2.066
6.198 6.198 6.198
4.132 4.132 4.132
```